# 1
A PBEsol-optimized structure of BaCo3W. Source: Alexandria via LeMat-Bulk, functional SCAN.

Cell lengths 4.556, 4.556, 4.556 Å; angles 90.00, 90.00, 90.00 degrees
Element x y z (fractional)
Co 0.000 0.500 0.000
Co 0.000 0.000 0.500
Co 0.500 0.000 0.000
Ba 0.000 0.000 0.000
W 0.500 0.500 0.500

Values from the calculation:
formation enthalpy at 0 K	283.06	kJ/mol of atoms
final energy	-146.5	eV per cell

# 2
A PBEsol-optimized structure of ZrRh2. Source: Alexandria via LeMat-Bulk, functional SCAN.

Cell lengths 3.083, 3.083, 6.088 Å; angles 90.00, 90.00, 120.00 degrees
Element x y z (fractional)
Rh 0.667 0.333 0.318
Rh 0.333 0.667 0.682
Zr 0.000 0.000 0.000

Values from the calculation:
formation enthalpy at 0 K	-27.39	kJ/mol of atoms
final energy	-99.1	eV per cell

# 3
A PBEsol-optimized structure of NaSr2In2. Source: Alexandria via LeMat-Bulk, functional SCAN.

Cell lengths 3.982, 9.265, 9.265 Å; angles 90.00, 90.00, 90.00 degrees
Element x y z (fractional)
Sr 0.500 0.179 0.679
Sr 0.500 0.679 0.821
Sr 0.500 0.821 0.321
Sr 0.500 0.321 0.179
Na 0.000 0.000 0.000
Na 0.000 0.500 0.500
In 0.000 0.384 0.884
In 0.000 0.884 0.616
In 0.000 0.616 0.116
In 0.000 0.116 0.384

Values from the calculation:
formation enthalpy at 0 K	-38.68	kJ/mol of atoms
final energy	-235.1	eV per cell

# 4
A PBEsol-optimized structure of HgBiB2. Source: Alexandria via LeMat-Bulk, functional SCAN.

Cell lengths 5.066, 5.066, 6.877 Å; angles 111.61, 111.61, 90.00 degrees
Element x y z (fractional)
B 0.403 0.875 0.250
B 0.847 0.375 0.250
B 0.125 0.153 0.750
B 0.625 0.597 0.750
Bi 0.250 0.750 0.500
Bi 0.000 0.000 0.000
Hg 0.750 0.250 0.500
Hg 0.500 0.500 0.000

Values from the calculation:
formation enthalpy at 0 K	114.37	kJ/mol of atoms
final energy	-313.7	eV per cell

# 5
A PBEsol-optimized structure of Li4MnOF4. Source: Alexandria via LeMat-Bulk, functional SCAN.

Cell lengths 3.959, 5.158, 5.158 Å; angles 81.53, 67.43, 67.43 degrees
Element x y z (fractional)
Mn 0.000 0.000 0.000
Li 0.411 0.379 0.798
Li 0.790 0.798 0.621
Li 0.210 0.202 0.379
Li 0.589 0.621 0.202
O 0.500 0.000 0.000
F 0.894 0.420 0.793
F 0.687 0.207 0.420
F 0.313 0.793 0.580
F 0.106 0.580 0.207

Values from the calculation:
formation energy (no corrections)	-2.820	eV/atom
final energy	-76.4	eV per cell

# 6
A PBEsol-optimized structure of ReTcCl2. Source: Alexandria via LeMat-Bulk, functional SCAN.

Cell lengths 2.854, 4.422, 6.901 Å; angles 108.69, 101.93, 90.00 degrees
Element x y z (fractional)
Re 0.500 0.000 0.000
Tc 0.000 0.500 0.000
Cl 0.848 0.848 0.697
Cl 0.152 0.152 0.303

Values from the calculation:
formation energy (no corrections)	0.569	eV/atom
final energy	-119.8	eV per cell

# 7
A PBEsol-optimized structure of Mn2CoAg. Source: Alexandria via LeMat-Bulk, functional SCAN.

Cell lengths 2.548, 2.548, 8.640 Å; angles 81.52, 81.52, 60.00 degrees
Element x y z (fractional)
Ag 0.000 0.000 0.000
Co 0.500 0.500 0.500
Mn 0.241 0.241 0.276
Mn 0.759 0.759 0.724

Values from the calculation:
formation enthalpy at 0 K	27.81	kJ/mol of atoms
final energy	-84.0	eV per cell

# 8
A PBEsol-optimized structure of NbPbN3. Source: Alexandria via LeMat-Bulk, functional SCAN.

Cell lengths 4.131, 4.131, 4.131 Å; angles 90.00, 90.00, 90.00 degrees
Element x y z (fractional)
Pb 0.500 0.500 0.500
Nb 0.000 0.000 0.000
N 0.000 0.500 0.000
N 0.000 0.000 0.500
N 0.500 0.000 0.000

Values from the calculation:
formation energy (no corrections)	0.258	eV/atom
final energy	-135.5	eV per cell

# 9
A PBEsol-optimized structure of Zr2CrNi. Source: Alexandria via LeMat-Bulk, functional SCAN.

Cell lengths 3.212, 4.466, 4.466 Å; angles 90.00, 90.00, 90.00 degrees
Element x y z (fractional)
Cr 0.500 0.500 0.500
Ni 0.500 0.000 0.000
Zr 0.000 0.000 0.500
Zr 0.000 0.500 0.000

Values from the calculation:
formation enthalpy at 0 K	-9.24	kJ/mol of atoms
final energy	-96.3	eV per cell

# 10
A PBEsol-optimized structure of CaS2N2. Source: Alexandria via LeMat-Bulk, functional SCAN.

Cell lengths 4.095, 4.095, 5.167 Å; angles 113.35, 113.35, 90.00 degrees
Element x y z (fractional)
Ca 0.000 0.000 0.000
S 0.303 0.303 0.605
S 0.697 0.697 0.395
N 0.250 0.750 0.500
N 0.750 0.250 0.500

Values from the calculation:
formation energy (no corrections)	0.599	eV/atom
final energy	-44.5	eV per cell

# 11
A PBEsol-optimized structure of Fe2RuRh. Source: Alexandria via LeMat-Bulk, functional SCAN.

Cell lengths 3.678, 3.678, 4.422 Å; angles 114.58, 114.58, 90.00 degrees
Element x y z (fractional)
Fe 0.750 0.250 0.500
Fe 0.250 0.750 0.500
Rh 0.500 0.500 0.000
Ru 0.000 0.000 0.000

Values from the calculation:
formation enthalpy at 0 K	7.28	kJ/mol of atoms
final energy	-104.6	eV per cell

# 12
A PBEsol-optimized structure of NaSeCl2. Source: Alexandria via LeMat-Bulk, functional SCAN.

Cell lengths 6.215, 6.215, 6.215 Å; angles 106.63, 106.63, 115.32 degrees
Element x y z (fractional)
Na 0.500 0.500 0.000
Na 0.750 0.250 0.500
Se 0.000 0.000 0.000
Se 0.250 0.750 0.500
Cl 0.886 0.875 0.511
Cl 0.364 0.375 0.489
Cl 0.125 0.636 0.011
Cl 0.625 0.114 0.989

Values from the calculation:
formation energy (no corrections)	-0.525	eV/atom
final energy	-84.7	eV per cell

> Look up the final energy of the sixth one.

-119.8 eV per cell

> final energy of number 6 (ReTcCl2)?

-119.8 eV per cell

Please write out number 7 again, unchanged.
A PBEsol-optimized structure of Mn2CoAg. Source: Alexandria via LeMat-Bulk, functional SCAN.

Cell lengths 2.548, 2.548, 8.640 Å; angles 81.52, 81.52, 60.00 degrees
Element x y z (fractional)
Ag 0.000 0.000 0.000
Co 0.500 0.500 0.500
Mn 0.241 0.241 0.276
Mn 0.759 0.759 0.724

Values from the calculation:
formation enthalpy at 0 K	27.81	kJ/mol of atoms
final energy	-84.0	eV per cell

Please write out number 12 again, unchanged.
A PBEsol-optimized structure of NaSeCl2. Source: Alexandria via LeMat-Bulk, functional SCAN.

Cell lengths 6.215, 6.215, 6.215 Å; angles 106.63, 106.63, 115.32 degrees
Element x y z (fractional)
Na 0.500 0.500 0.000
Na 0.750 0.250 0.500
Se 0.000 0.000 0.000
Se 0.250 0.750 0.500
Cl 0.886 0.875 0.511
Cl 0.364 0.375 0.489
Cl 0.125 0.636 0.011
Cl 0.625 0.114 0.989

Values from the calculation:
formation energy (no corrections)	-0.525	eV/atom
final energy	-84.7	eV per cell